[1]
First-principles (PBEsol) data for an optimized crystal structure of LiSbTe2Au, as listed in Alexandria via LeMat-Bulk.

Lattice parameters (Å, degrees): 4.843 4.957 4.957 90.00 90.00 90.00
Atoms (fractional coordinates):
Te (0.000, 0.500, 0.000)
Te (0.000, 0.000, 0.500)
Au (0.500, 0.500, 0.500)
Sb (0.500, 0.000, 0.000)
Li (0.000, 0.000, 0.000)

Values from the calculation:
Space group: P4/mmm (123)
Magnetic moment in μB per formula unit: 0.00
Raw formation energy in meV/atom: 441



[2]
First-principles (PBEsol) data for an optimized crystal structure of Zr2Tl, as listed in Alexandria via LeMat-Bulk.

Lattice parameters (Å, degrees): 3.284 3.284 7.403 90.00 90.00 120.00
Atoms (fractional coordinates):
Tl (0.000, 0.000, 0.000)
Zr (0.667, 0.333, 0.662)
Zr (0.333, 0.667, 0.338)

Values from the calculation:
Space group: P-3m1 (164)
Magnetic moment in μB per formula unit: 0.00
Energy of formation in eV/atom: -0.07



[3]
First-principles (PBEsol) data for an optimized crystal structure of InPb2Au2, as listed in Alexandria via LeMat-Bulk.

Lattice parameters (Å, degrees): 4.312 7.405 7.405 90.00 90.00 90.00
Atoms (fractional coordinates):
Pb (0.500, 0.666, 0.834)
Pb (0.500, 0.334, 0.166)
Pb (0.500, 0.166, 0.666)
Pb (0.500, 0.834, 0.334)
In (0.000, 0.500, 0.500)
In (0.000, 0.000, 0.000)
Au (0.000, 0.364, 0.864)
Au (0.000, 0.136, 0.364)
Au (0.000, 0.636, 0.136)
Au (0.000, 0.864, 0.636)

Values from the calculation:
Space group: P4/mbm (127)
Magnetic moment in μB per formula unit: 0.00
Energy of formation in eV/atom: -0.06



[4]
First-principles (PBEsol) data for an optimized crystal structure of Fe2CuSe, as listed in Alexandria via LeMat-Bulk.

Lattice parameters (Å, degrees): 3.636 3.636 4.612 113.21 113.21 90.00
Atoms (fractional coordinates):
Cu (0.000, 0.000, 0.000)
Fe (0.750, 0.250, 0.500)
Fe (0.250, 0.750, 0.500)
Se (0.500, 0.500, 0.000)

Values from the calculation:
Space group: I4/mmm (139)
Magnetic moment in μB per formula unit: 5.43
Raw formation energy in meV/atom: 278



[5]
First-principles (PBEsol) data for an optimized crystal structure of YNbB2As, as listed in Alexandria via LeMat-Bulk.

Lattice parameters (Å, degrees): 4.239 4.239 5.512 90.00 90.00 90.00
Atoms (fractional coordinates):
B (0.500, 0.000, 0.000)
B (0.000, 0.500, 0.000)
As (0.500, 0.500, 0.500)
Y (0.000, 0.000, 0.500)
Nb (0.000, 0.000, 0.000)

Values from the calculation:
Space group: P4/mmm (123)
Magnetic moment in μB per formula unit: 0.00
Energy of formation in eV/atom: 1.16



[6]
First-principles (PBEsol) data for an optimized crystal structure of CsNaIn2, as listed in Alexandria via LeMat-Bulk.

Lattice parameters (Å, degrees): 5.813 5.813 5.813 60.00 60.00 60.00
Atoms (fractional coordinates):
In (0.750, 0.750, 0.750)
In (0.250, 0.250, 0.250)
Na (0.000, 0.000, 0.000)
Cs (0.500, 0.500, 0.500)

Values from the calculation:
Space group: Fm-3m (225)
Magnetic moment in μB per formula unit: 0.00
Energy of formation in eV/atom: 0.16



[7]
First-principles (PBEsol) data for an optimized crystal structure of KMnRe2, as listed in Alexandria via LeMat-Bulk.

Lattice parameters (Å, degrees): 2.714 2.714 10.197 82.35 82.35 60.00
Atoms (fractional coordinates):
K (0.500, 0.500, 0.500)
Re (0.733, 0.733, 0.801)
Re (0.267, 0.267, 0.199)
Mn (0.000, 0.000, 0.000)

Values from the calculation:
Space group: R-3m (166)
Magnetic moment in μB per formula unit: 0.00
Energy of formation in eV/atom: 0.79
Energy relative to the lowest polymorph listed for this composition in eV/f.u.: 0.00



[8]
First-principles (PBEsol) data for an optimized crystal structure of ZnRePt, as listed in Alexandria via LeMat-Bulk.

Lattice parameters (Å, degrees): 4.163 4.163 4.163 60.00 60.00 60.00
Atoms (fractional coordinates):
Pt (0.500, 0.500, 0.500)
Zn (0.000, 0.000, 0.000)
Re (0.750, 0.750, 0.750)

Values from the calculation:
Space group: F-43m (216)
Magnetic moment in μB per formula unit: 0.00
Energy of formation in eV/atom: 0.64
Energy relative to the lowest polymorph listed for this composition in eV/f.u.: 0.00



| no. | calculated volume (Å³/cell) |
| --- | --- |
| 1 | 119.0 |
| 2 | 69.2 |
| 3 | 236.4 |
| 4 | 50.6 |
| 5 | 99.1 |
| 6 | 138.9 |
| 7 | 64.3 |
| 8 | 51.0 |